[1]
The following is a PBE calculation of a relaxed structure of TeAsIrI2, from Alexandria via LeMat-Bulk.

```
data_TeAsIrI2
_chemical_formula_sum 'Te1 As1 Ir1 I2'
_cell_length_a 5.3991
_cell_length_b 5.3991
_cell_length_c 5.1552
_cell_angle_alpha 90.00
_cell_angle_beta 90.00
_cell_angle_gamma 90.00
_symmetry_space_group_name_H-M 'P 4/m m m'
_symmetry_Int_Tables_number 123
_symmetry_space_group_name_Hall '-P 4 2'
loop_
_atom_site_label
_atom_site_fract_x
_atom_site_fract_y
_atom_site_fract_z
Te1 0.0000 0.0000 0.0000
As1 0.5000 0.5000 0.0000
Ir1 0.0000 0.0000 0.5000
I1 0.0000 0.5000 0.5000
```

Calculated values
- Fermi-level density of states: 4.0 states/eV/cell
- Energy relative to the elements, uncorrected: 0.707 eV per atom
- Polymorph energy (0 for the lowest one): 0.0 kJ per mole of atoms
- V: 30.1 A^3/atom

=====

[2]
The following is a PBE calculation of a relaxed structure of TeAsIrI2, from Alexandria via LeMat-Bulk.

```
data_TeAsIrI2
_chemical_formula_sum 'Te1 As1 Ir1 I2'
_cell_length_a 5.4841
_cell_length_b 5.4841
_cell_length_c 5.6086
_cell_angle_alpha 90.00
_cell_angle_beta 90.00
_cell_angle_gamma 90.00
_symmetry_space_group_name_H-M 'P 4/m m m'
_symmetry_Int_Tables_number 123
_symmetry_space_group_name_Hall '-P 4 2'
loop_
_atom_site_label
_atom_site_fract_x
_atom_site_fract_y
_atom_site_fract_z
Te1 0.0000 0.0000 0.0000
As1 0.0000 0.0000 0.5000
Ir1 0.5000 0.5000 0.0000
I1 0.0000 0.5000 0.5000
```

Calculated values
- Fermi-level density of states: 6.9 states/eV/cell
- Energy relative to the elements, uncorrected: 1.356 eV per atom
- Polymorph energy (0 for the lowest one): 62.6 kJ per mole of atoms
- V: 33.7 A^3/atom

=====

[3]
The following is a PBE calculation of a relaxed structure of AsIrW2I, from Alexandria via LeMat-Bulk.

```
data_AsIrW2I
_chemical_formula_sum 'As1 Ir1 W2 I1'
_cell_length_a 4.5972
_cell_length_b 4.5972
_cell_length_c 5.3119
_cell_angle_alpha 90.00
_cell_angle_beta 90.00
_cell_angle_gamma 90.00
_symmetry_space_group_name_H-M 'P 4/m m m'
_symmetry_Int_Tables_number 123
_symmetry_space_group_name_Hall '-P 4 2'
loop_
_atom_site_label
_atom_site_fract_x
_atom_site_fract_y
_atom_site_fract_z
As1 0.0000 0.0000 0.0000
Ir1 0.5000 0.5000 0.5000
W1 0.0000 0.5000 0.0000
I1 0.0000 0.0000 0.5000
```

Calculated values
- Fermi-level density of states: 6.9 states/eV/cell
- Energy relative to the elements, uncorrected: 2.321 eV per atom
- V: 22.5 A^3/atom

=====

[4]
The following is a PBE calculation of a relaxed structure of KAs2I7, from Alexandria via LeMat-Bulk.

```
data_KAs2I7
_chemical_formula_sum 'K2 As4 I14'
_cell_length_a 9.5550
_cell_length_b 17.4144
_cell_length_c 5.5178
_cell_angle_alpha 90.00
_cell_angle_beta 90.00
_cell_angle_gamma 90.00
_symmetry_space_group_name_H-M 'C m m m'
_symmetry_Int_Tables_number 65
_symmetry_space_group_name_Hall '-C 2 2'
loop_
_atom_site_label
_atom_site_fract_x
_atom_site_fract_y
_atom_site_fract_z
K1 0.0000 0.0000 0.0000
As1 0.0000 0.2187 0.5000
I1 0.0000 0.2638 0.0000
I2 0.0000 0.5000 0.5000
I3 0.2118 0.1203 0.5000
```

Calculated values
- Fermi-level density of states: 0.1 states/eV/cell
- Energy relative to the elements, uncorrected: -0.357 eV per atom
- V: 45.9 A^3/atom

=====

[5]
The following is a PBE calculation of a relaxed structure of KAsI3, from Alexandria via LeMat-Bulk.

```
data_KAsI3
_chemical_formula_sum 'K4 As4 I12'
_cell_length_a 9.2630
_cell_length_b 8.6697
_cell_length_c 12.6867
_cell_angle_alpha 90.00
_cell_angle_beta 114.88
_cell_angle_gamma 90.00
_symmetry_space_group_name_H-M 'P 1 21/c 1'
_symmetry_Int_Tables_number 14
loop_
_symmetry_equiv_pos_as_xyz
'x,y,z'
'-x,-y,-z'
'-x,y+1/2,-z+1/2'
'x,-y+1/2,z+1/2'
loop_
_atom_site_label
_atom_site_fract_x
_atom_site_fract_y
_atom_site_fract_z
K1 0.1522 0.0634 0.2173
As1 0.4937 0.1148 0.0626
I1 0.1285 0.2201 0.9489
I2 0.2478 0.7449 0.9391
I3 0.3993 0.0539 0.7438
```

Calculated values
- Energy relative to the elements, uncorrected: -0.627 eV per atom
- Polymorph energy (0 for the lowest one): 2.9 kJ per mole of atoms
- V: 46.2 A^3/atom

=====

[6]
The following is a PBE calculation of a relaxed structure of KAsI3, from Alexandria via LeMat-Bulk.

```
data_KAsI3
_chemical_formula_sum 'K1 As1 I3'
_cell_length_a 5.8559
_cell_length_b 5.8559
_cell_length_c 5.8559
_cell_angle_alpha 90.00
_cell_angle_beta 90.00
_cell_angle_gamma 90.00
_symmetry_space_group_name_H-M 'P m -3 m'
_symmetry_Int_Tables_number 221
_symmetry_space_group_name_Hall '-P 4 2 3'
loop_
_atom_site_label
_atom_site_fract_x
_atom_site_fract_y
_atom_site_fract_z
K1 0.0000 0.0000 0.0000
As1 0.5000 0.5000 0.5000
I1 0.0000 0.5000 0.5000
```

Calculated values
- Fermi-level density of states: 1.4 states/eV/cell
- Energy relative to the elements, uncorrected: -0.568 eV per atom
- Polymorph energy (0 for the lowest one): 8.5 kJ per mole of atoms
- V: 40.2 A^3/atom

=====

[7]
The following is a PBE calculation of a relaxed structure of K4AsI2, from Alexandria via LeMat-Bulk.

```
data_K4AsI2
_chemical_formula_sum 'K8 As2 I4'
_cell_length_a 6.1758
_cell_length_b 6.1758
_cell_length_c 18.5717
_cell_angle_alpha 90.00
_cell_angle_beta 90.00
_cell_angle_gamma 90.00
_symmetry_space_group_name_H-M 'I 4/m m m'
_symmetry_Int_Tables_number 139
_symmetry_space_group_name_Hall '-I 4 2'
loop_
_atom_site_label
_atom_site_fract_x
_atom_site_fract_y
_atom_site_fract_z
K1 0.0000 0.0000 0.1737
K2 0.0000 0.5000 0.0000
As1 0.0000 0.0000 0.0000
I1 0.0000 0.0000 0.3594
```

Calculated values
- Fermi-level density of states: 6.3 states/eV/cell
- Energy relative to the elements, uncorrected: -0.826 eV per atom
- V: 50.6 A^3/atom

=====

[8]
The following is a PBE calculation of a relaxed structure of KAsI6, from Alexandria via LeMat-Bulk.

```
data_KAsI6
_chemical_formula_sum 'K1 As1 I6'
_cell_length_a 7.1774
_cell_length_b 7.3790
_cell_length_c 9.1114
_cell_angle_alpha 111.96
_cell_angle_beta 91.83
_cell_angle_gamma 113.12
_symmetry_space_group_name_H-M 'P -1'
_symmetry_Int_Tables_number 2
loop_
_symmetry_equiv_pos_as_xyz
'x,y,z'
'-x,-y,-z'
loop_
_atom_site_label
_atom_site_fract_x
_atom_site_fract_y
_atom_site_fract_z
K1 0.0000 0.0000 0.0000
As1 0.0000 0.5000 0.5000
I1 0.1092 0.8710 0.4217
I2 0.3148 0.7789 0.7939
I3 0.3168 0.5317 0.3120
```

Calculated values
- Energy relative to the elements, uncorrected: -0.364 eV per atom
- V: 50.3 A^3/atom

=====

[9]
The following is a PBE calculation of a relaxed structure of KAsI4, from Alexandria via LeMat-Bulk.

```
data_KAsI4
_chemical_formula_sum 'K4 As4 I16'
_cell_length_a 10.6552
_cell_length_b 16.5052
_cell_length_c 7.5380
_cell_angle_alpha 90.00
_cell_angle_beta 100.97
_cell_angle_gamma 90.00
_symmetry_space_group_name_H-M 'C 1 2/c 1'
_symmetry_Int_Tables_number 15
loop_
_symmetry_equiv_pos_as_xyz
'x,y,z'
'-x,-y,-z'
'-x,y,-z+1/2'
'x,-y,z+1/2'
'x+1/2,y+1/2,z'
'-x+1/2,-y+1/2,-z'
'-x+1/2,y+1/2,-z+1/2'
'x+1/2,-y+1/2,z+1/2'
loop_
_atom_site_label
_atom_site_fract_x
_atom_site_fract_y
_atom_site_fract_z
K1 0.0000 0.2452 0.2500
As1 0.0000 0.0686 0.7500
I1 0.1554 0.0618 0.1108
I2 0.1690 0.1874 0.6698
```

Calculated values
- Fermi-level density of states: 0.0 states/eV/cell
- Energy relative to the elements, uncorrected: -0.587 eV per atom
- Polymorph energy (0 for the lowest one): 0.0 kJ per mole of atoms
- V: 54.2 A^3/atom

=====

[10]
The following is a PBE calculation of a relaxed structure of KAsI4, from Alexandria via LeMat-Bulk.

```
data_KAsI4
_chemical_formula_sum 'K4 As4 I16'
_cell_length_a 9.8925
_cell_length_b 16.7891
_cell_length_c 7.5343
_cell_angle_alpha 90.00
_cell_angle_beta 121.55
_cell_angle_gamma 90.00
_symmetry_space_group_name_H-M 'C 1 2/c 1'
_symmetry_Int_Tables_number 15
loop_
_symmetry_equiv_pos_as_xyz
'x,y,z'
'-x,-y,-z'
'-x,y,-z+1/2'
'x,-y,z+1/2'
'x+1/2,y+1/2,z'
'-x+1/2,-y+1/2,-z'
'-x+1/2,y+1/2,-z+1/2'
'x+1/2,-y+1/2,z+1/2'
loop_
_atom_site_label
_atom_site_fract_x
_atom_site_fract_y
_atom_site_fract_z
K1 0.0000 0.0950 0.2500
As1 0.0000 0.4184 0.7500
I1 0.1730 0.3059 0.7038
I2 0.2131 0.4448 0.1975
```

Calculated values
- Fermi-level density of states: 0.0 states/eV/cell
- Energy relative to the elements, uncorrected: -0.578 eV per atom
- Polymorph energy (0 for the lowest one): 0.9 kJ per mole of atoms
- V: 44.4 A^3/atom

=====

[11]
The following is a PBE calculation of a relaxed structure of K2AsI, from Alexandria via LeMat-Bulk.

```
data_K2AsI
_chemical_formula_sum 'K8 As4 I4'
_cell_length_a 9.3150
_cell_length_b 9.3150
_cell_length_c 6.8048
_cell_angle_alpha 90.00
_cell_angle_beta 90.00
_cell_angle_gamma 90.00
_symmetry_space_group_name_H-M 'I -4 2 d'
_symmetry_Int_Tables_number 122
_symmetry_space_group_name_Hall 'I -4 2bw'
loop_
_atom_site_label
_atom_site_fract_x
_atom_site_fract_y
_atom_site_fract_z
K1 0.2332 0.2500 0.1250
As1 0.0000 0.0000 0.0000
I1 0.0000 0.0000 0.5000
```

Calculated values
- Fermi-level density of states: 12.8 states/eV/cell
- Energy relative to the elements, uncorrected: -0.415 eV per atom
- Polymorph energy (0 for the lowest one): 4.8 kJ per mole of atoms
- V: 36.9 A^3/atom